First-principles (PBE-GGA) data for LaGaPt3Au after structural relaxation, as listed in Alexandria via LeMat-Bulk.

Structure (CIF):
```
data_LaGaPt3Au
_chemical_formula_sum 'La2 Ga2 Pt6 Au2'
_symmetry_space_group_name_H-M 'P 1'
_symmetry_Int_Tables_number 1
_symmetry_space_group_name_Hall 'P 1'
_cell_length_a 5.8083
_cell_length_b 7.2226
_cell_length_c 7.0401
_cell_angle_alpha 120.86
_cell_angle_beta 90.00
_cell_angle_gamma 90.00
loop_
_atom_site_label
_atom_site_fract_x
_atom_site_fract_y
_atom_site_fract_z
Pt1 0.5000 0.3029 0.0000
Ga1 0.2500 0.3762 0.7524
Pt2 0.7500 0.8222 0.6444
Au1 0.2500 0.9449 0.8899
Ga2 0.7500 0.6238 0.2476
Pt3 0.5000 0.6971 0.0000
Pt4 0.0000 0.3029 0.0000
La1 0.2500 0.7041 0.4083
Au2 0.7500 0.0551 0.1101
Pt5 0.2500 0.1778 0.3556
Pt6 0.0000 0.6971 0.0000
La2 0.7500 0.2959 0.5917
```

Summary:
Volume in Å³ per cell: 253.5
Formation energy in meV per atom: -557
E in eV per cell: -65.4
Spin magnetization in μB/atom: 0.00

First-principles (PBE-GGA) data for KInHg2S after structural relaxation, as listed in Alexandria via LeMat-Bulk.

Structure (CIF):
```
data_KInHg2S
_chemical_formula_sum 'K1 In1 Hg2 S1'
_symmetry_space_group_name_H-M 'P 1'
_symmetry_Int_Tables_number 1
_symmetry_space_group_name_Hall 'P 1'
_cell_length_a 6.1061
_cell_length_b 5.7210
_cell_length_c 6.1061
_cell_angle_alpha 90.00
_cell_angle_beta 90.00
_cell_angle_gamma 90.00
loop_
_atom_site_label
_atom_site_fract_x
_atom_site_fract_y
_atom_site_fract_z
K1 0.0000 0.0000 0.0000
Hg1 0.0000 0.0000 0.5000
Hg2 0.5000 0.0000 0.0000
In1 0.5000 0.5000 0.5000
S1 0.0000 0.5000 0.0000
```

Summary:
Volume in Å³ per cell: 213.3
E_form (uncorrected) in eV/atom: 0.2092
E in eV per cell: -7.5
Spin magnetization in μB/atom: 0.00

> What is the formula in the second record?

KInHg2S